The following is a SCAN calculation of KNi3 at its PBEsol-relaxed geometry, from Alexandria via LeMat-Bulk.

a = 2.7986 Å, b = 2.7986 Å, c = 7.6986 Å
α = 90.00°, β = 90.00°, γ = 90.00°
With the nearest neighbours (Å) after each atom.
Element x y z (fractional)
Ni 0.5000 0.5000 0.3302  5 Ni 2.37-2.61
Ni 0.0000 0.0000 0.5000  8 Ni 2.37
K 0.0000 0.0000 0.0000  4 K 2.80
Ni 0.5000 0.5000 0.6698  5 Ni 2.37-2.61

## Properties
As for the uncorrected energy: -54.4 eV for the cell shown. As for the formation energy: 0.60 eV per atom. For the density of states at the Fermi level, the calculation gives 3.53 states/eV per cell. Its total magnetic moment is 1.833 Bohr magnetons per cell. As for the relative energy among the computed polymorphs: 0 meV per atom.